# 1
Cu2Rh2Cl after structural relaxation. Source: the Alexandria database, functional PBE-GGA.

abc: 7.1754 7.1754 7.1754
angles: 151.32 151.32 41.00
Fractional coordinates of all 5 atoms:
Cu  0.1053  0.1053  0.0000
Cu  0.8947  0.8947  0.0000
Rh  0.2500  0.7500  0.5000
Rh  0.7500  0.2500  0.5000
Cl  0.5000  0.5000  0.0000

Results
**ΔE_f (raw)**: 0.470 eV per atom
**N(E_F)**: 0.83 states/eV/atom
**Total energy**: -4.478 eV per atom



# 2
KMo2Pt after structural relaxation. Source: the Alexandria database, functional PBE-GGA.

abc: 10.4337 10.4337 10.4337
angles: 157.34 157.34 32.26
Fractional coordinates of all 8 atoms:
K  0.0000  0.0000  0.0000
K  0.7500  0.2500  0.5000
Mo  0.2072  0.6250  0.0822
Mo  0.3750  0.4572  0.5822
Mo  0.5428  0.1250  0.9178
Mo  0.8750  0.7928  0.4178
Pt  0.2500  0.7500  0.5000
Pt  0.5000  0.5000  0.0000

Results
**Formation energy from the elements**: 1.187 eV/atom
**N(E_F)**: 0.89 states/eV/atom
**Total energy**: -6.013 eV per atom



# 3
MgTeI2Br after structural relaxation. Source: the Alexandria database, functional PBE-GGA.

abc: 5.7693 5.7693 5.9357
angles: 90.00 90.00 90.00
Fractional coordinates of all 5 atoms:
Mg  0.0000  0.0000  0.0000
Te  0.5000  0.5000  0.0000
I  0.0000  0.5000  0.5000
I  0.5000  0.0000  0.5000
Br  0.5000  0.5000  0.5000

Results
**ΔE_f (raw)**: 0.391 eV per atom
**N(E_F)**: 0.52 states/eV/atom
**Total energy**: -1.511 eV per atom



# 4
ReNiRu after structural relaxation. Source: the Alexandria database, functional PBE-GGA.

abc: 4.6573 2.6913 6.5770
angles: 90.00 103.45 90.00
Fractional coordinates of all 6 atoms:
Re  0.0000  0.0000  0.0000
Re  0.4402  0.0000  0.3259
Ni  0.7261  0.5000  0.6582
Ni  0.9358  0.5000  0.3248
Ru  0.2230  0.0000  0.6609
Ru  0.5102  0.5000  0.9916

Results
**Formation energy from the elements**: 0.031 eV/atom
**N(E_F)**: 0.97 states/eV/atom
**Total energy**: -9.137 eV per atom



# 5
Cs2Tl3Pt2 after structural relaxation. Source: the Alexandria database, functional PBE-GGA.

abc: 7.0689 7.0689 8.9658
angles: 121.44 121.44 37.23
Fractional coordinates of all 7 atoms:
Cs  0.1440  0.1440  0.2795
Cs  0.8560  0.8560  0.7205
Tl  0.3536  0.3536  0.0556
Tl  0.5000  0.5000  0.5000
Tl  0.6464  0.6464  0.9444
Pt  0.1186  0.1186  0.7165
Pt  0.8814  0.8814  0.2835

Results
**Formation energy from the elements**: -0.142 eV/atom
**N(E_F)**: 0.33 states/eV/atom
**Total energy**: -3.126 eV per atom



# 6
La2In2Ga after structural relaxation. Source: the Alexandria database, functional PBE-GGA.

abc: 8.9415 8.9415 3.9845
angles: 90.00 90.00 90.00
Fractional coordinates of all 10 atoms:
La  0.1781  0.3219  0.0000
La  0.3219  0.8219  0.0000
La  0.6781  0.1781  0.0000
La  0.8219  0.6781  0.0000
In  0.1227  0.6227  0.5000
In  0.3773  0.1227  0.5000
In  0.6227  0.8773  0.5000
In  0.8773  0.3773  0.5000
Ga  0.0000  0.0000  0.0000
Ga  0.5000  0.5000  0.0000

Results
**Formation energy from the elements**: -0.216 eV/atom
**N(E_F)**: 0.77 states/eV/atom
**Total energy**: -3.887 eV per atom



Number 1: ρ 7.2 Mg/m³, V 85 Å³ per cell, M_tot 0.392 μB/atom. Number 2: ρ 8.4 Mg/m³, V 168 Å³ per cell, M_tot 0.000 μB/atom. Number 3: ρ 4.1 Mg/m³, V 198 Å³ per cell, M_tot 0.066 μB/atom. Number 4: ρ 14.3 Mg/m³, V 80 Å³ per cell, M_tot 0.000 μB/atom. Number 5: ρ 9.3 Mg/m³, V 226 Å³ per cell, M_tot 0.000 μB/atom. Number 6: ρ 6.0 Mg/m³, V 319 Å³ per cell, M_tot 0.000 μB/atom.